Entry 1:
Compound: CaHg2Au
Source: Alexandria via LeMat-Bulk
Functional: PBE
Structure: optimized geometry

Its total moment is 0.00 Bohr magnetons per cell. As for the formation energy: -0.428 eV/atom.

It has space group I-4m2 (No. 119), with a = 4.9843 Å, b = 4.9843 Å, c = 7.5391 Å, α = 90.00°, β = 90.00° and γ = 90.00°. The inequivalent atoms are Ca at (0.0000, 0.0000, 0.0000), Hg at (0.0000, 0.0000, 0.5000), Hg at (0.0000, 0.5000, 0.7500) and Au at (0.0000, 0.5000, 0.2500).

---

Entry 2:
Compound: CaHg4Au
Source: Alexandria via LeMat-Bulk
Functional: PBE
Structure: optimized geometry

Its energy relative to the lowest polymorph listed for this composition is 0.194 eV/atom. Its total moment is 0.00 Bohr magnetons per cell. As for the formation energy: -0.089 eV/atom.

It has space group F-43m (No. 216), with a = 8.4416 Å, b = 8.4416 Å, c = 8.4416 Å, α = 90.00°, β = 90.00° and γ = 90.00°. The inequivalent atoms are Ca at (0.0000, 0.0000, 0.0000), Hg at (0.1247, 0.1247, 0.6247) and Au at (0.2500, 0.2500, 0.2500).